The following is a GGA-PBE calculation of a geometry-optimized Cu2TcI structure, from the Alexandria database.

The structure in CIF format:
```
data_Cu2TcI
_chemical_formula_sum 'Cu2 Tc1 I1'
_cell_length_a 3.261
_cell_length_b 3.261
_cell_length_c 6.209
_cell_angle_alpha 90.00
_cell_angle_beta 90.00
_cell_angle_gamma 90.00
_space_group_name_H-M_alt 'P 4 m m'
_space_group_IT_number 99
loop_
_space_group_symop_operation_xyz
'x,y,z'
'-y,x,z'
'-x,-y,z'
'y,-x,z'
'-x,y,z'
'y,x,z'
'x,-y,z'
'-y,-x,z'
loop_
_atom_site_label
_atom_site_type_symbol
_atom_site_fract_x
_atom_site_fract_y
_atom_site_fract_z
Cu1 Cu 0.000 0.000 0.000
Cu2 Cu 0.500 0.500 0.167
Tc1 Tc 0.500 0.500 0.748
I1 I 0.000 0.000 0.511
```

Values from the calculation:
- DOS(E_F): 2.25 states/eV/cell
- ΔE_f (raw): 0.619 eV/atom
- Energy above the lowest structure with this stoichiometry: 423 meV/atom
- Energy: -17.634 eV/f.u.